Entry 1:
## Mo4C5 (PBE)

Data for a geometry-optimized Mo4C5 structure.

Cell and atoms, written as CIF:
```
data_Mo4C5
_chemical_formula_sum 'Mo8 C10'
_cell_length_a 7.967
_cell_length_b 7.967
_cell_length_c 2.906
_cell_angle_alpha 90.00
_cell_angle_beta 90.00
_cell_angle_gamma 90.00
_space_group_name_H-M_alt 'I 4/m m m'
_space_group_IT_number 139
_space_group_name_Hall '-I 4 2'
loop_
_atom_site_label
_atom_site_type_symbol
_atom_site_fract_x
_atom_site_fract_y
_atom_site_fract_z
_atom_site_occupancy
Mo1 Mo 0.000 0.260 0.000 1
C1 C 0.000 0.000 0.000 1
C2 C 0.213 0.213 0.500 1
```

Results
Calculated formation energy, eV/atom: 0.850
Calculated volume, Å³/cell: 184.5
DFT total energy, eV/cell: -163.59
Energy above the most stable polymorph in this dataset, meV/atom: 152

Entry 2:
## AcTbRu2 (PBE)

Data for a geometry-optimized AcTbRu2 structure.

Cell and atoms, written as CIF:
```
data_AcTbRu2
_chemical_formula_sum 'Ac1 Tb1 Ru2'
_cell_length_a 3.551
_cell_length_b 3.551
_cell_length_c 7.069
_cell_angle_alpha 90.00
_cell_angle_beta 90.00
_cell_angle_gamma 90.00
_space_group_name_H-M_alt 'P 4/m m m'
_space_group_IT_number 123
_space_group_name_Hall '-P 4 2'
loop_
_atom_site_label
_atom_site_type_symbol
_atom_site_fract_x
_atom_site_fract_y
_atom_site_fract_z
_atom_site_occupancy
Ac1 Ac 0.000 0.000 0.000 1
Tb1 Tb 0.000 0.000 0.500 1
Ru1 Ru 0.500 0.500 0.264 1
```

Results
Calculated formation energy, eV/atom: -0.048
Calculated volume, Å³/cell: 89.1
DFT total energy, eV/cell: -27.48
Energy above the most stable polymorph in this dataset, meV/atom: 14

Entry 3:
## Mg5Sb (PBE)

Data for a geometry-optimized Mg5Sb structure.

Cell and atoms, written as CIF:
```
data_Mg5Sb
_chemical_formula_sum 'Mg15 Sb3'
_cell_length_a 5.5111
_cell_length_b 5.5111
_cell_length_c 15.9449
_cell_angle_alpha 90.00
_cell_angle_beta 90.00
_cell_angle_gamma 120.00
_space_group_name_H-M_alt 'R 3 2'
_space_group_IT_number 155
_space_group_name_Hall 'R 3 2"'
loop_
_atom_site_label
_atom_site_type_symbol
_atom_site_fract_x
_atom_site_fract_y
_atom_site_fract_z
_atom_site_occupancy
Mg1 Mg 0.0000 0.0000 0.1688 1
Mg2 Mg 0.0000 0.3341 0.0000 1
Sb1 Sb 0.0000 0.0000 0.5000 1
```

Results
Calculated volume, Å³/cell: 419.4
Formation energy from raw total energies, eV per atom: -0.0646
DFT total energy, eV/cell: -37.45
Energy above the most stable polymorph in this dataset, meV/atom: 41